Here is an optimized crystal structure of K2MgFeO4 from Alexandria. Energies are from PBE+U. Values from VASP.

## Properties
- total energy (eV per atom) = -5.170
- ρ (g/cm3) = 2.33
- SG = Fddd (70)

```
&SYSTEM
  ibrav = 0, nat = 16, ntyp = 4
/
ATOMIC_SPECIES
O 16.00 O.upf
Fe 55.84 Fe.upf
K 39.10 K.upf
Mg 24.30 Mg.upf
ATOMIC_POSITIONS angstrom
O -2.967 1.369 13.426
Fe -1.255 -0.184 6.888
K -0.963 3.096 5.540
O -3.045 -0.159 7.263
K 2.010 1.103 6.302
O -4.812 -1.124 4.144
K -0.694 1.178 11.135
O -3.844 1.547 9.823
O 2.197 0.876 9.721
O -2.484 1.610 2.846
Mg -2.778 1.550 8.181
K -4.862 1.922 5.227
O -0.882 1.405 7.716
O -0.294 -0.061 5.335
Mg 0.000 0.000 0.000
Fe -1.524 1.734 1.293
CELL_PARAMETERS angstrom
-3.047 3.468 2.586
-5.080 -2.833 3.226
4.094 0.731 9.256
```